[1]
# PBE Sm8DyTh2, relaxed
data_Sm8DyTh2
_cell_length_a 9.064
_cell_length_b 16.375
_cell_length_c 6.015
_cell_angle_alpha 90.00
_cell_angle_beta 123.33
_cell_angle_gamma 90.00
_symmetry_space_group_name_H-M 'C 1 2/m 1'
_symmetry_Int_Tables_number 12
loop_
_symmetry_equiv_pos_as_xyz
'x,y,z'
'-x,-y,-z'
'-x,y,-z'
'x,-y,z'
'x+1/2,y+1/2,z'
'-x+1/2,-y+1/2,-z'
'-x+1/2,y+1/2,-z'
'x+1/2,-y+1/2,z'
loop_
_atom_site_label
_atom_site_type_symbol
_atom_site_fract_x
_atom_site_fract_y
_atom_site_fract_z
Sm1 Sm 0.000 0.207 0.000
Sm2 Sm 0.079 0.500 0.793
Sm3 Sm 0.217 0.117 0.677
Dy1 Dy 0.000 0.000 0.000
Th1 Th 0.000 0.307 0.500
# Final energy: -110.1 eV per cell
# Size of the total moment: 0.00 μB/f.u.
# Crystal system: monoclinic

---

[2]
# PBE LaMoHN2, relaxed
data_LaMoHN2
_cell_length_a 4.069
_cell_length_b 4.069
_cell_length_c 3.666
_cell_angle_alpha 90.00
_cell_angle_beta 90.00
_cell_angle_gamma 90.00
_symmetry_space_group_name_H-M 'P 4/m m m'
_symmetry_Int_Tables_number 123
_symmetry_space_group_name_Hall '-P 4 2'
loop_
_atom_site_label
_atom_site_type_symbol
_atom_site_fract_x
_atom_site_fract_y
_atom_site_fract_z
La1 La 0.000 0.000 0.000
Mo1 Mo 0.500 0.500 0.500
H1 H 0.500 0.500 0.000
N1 N 0.000 0.500 0.500
# Final energy: -39.9 eV per cell
# Size of the total moment: 0.00 μB/f.u.
# Crystal system: tetragonal

---

[3]
# PBE InGaSn2, relaxed
data_InGaSn2
_cell_length_a 3.362
_cell_length_b 4.816
_cell_length_c 12.721
_cell_angle_alpha 90.00
_cell_angle_beta 90.00
_cell_angle_gamma 90.00
_symmetry_space_group_name_H-M 'P m m n'
_symmetry_Int_Tables_number 59
loop_
_symmetry_equiv_pos_as_xyz
'x,y,z'
'-x,-y,-z'
'-x+1/2,-y+1/2,z'
'x+1/2,y+1/2,-z'
'x+1/2,-y,-z'
'-x+1/2,y,z'
'-x,y+1/2,-z'
'x,-y+1/2,z'
loop_
_atom_site_label
_atom_site_type_symbol
_atom_site_fract_x
_atom_site_fract_y
_atom_site_fract_z
In1 In 0.250 0.250 0.205
Ga1 Ga 0.250 0.250 0.699
Sn1 Sn 0.250 0.250 0.941
Sn2 Sn 0.250 0.750 0.556
# Final energy: -27.1 eV per cell
# Size of the total moment: 0.00 μB/f.u.
# Crystal system: orthorhombic

---

[4]
# PBE Cd2PtF8, relaxed
data_Cd2PtF8
_cell_length_a 6.7661
_cell_length_b 6.7661
_cell_length_c 4.3477
_cell_angle_alpha 90.00
_cell_angle_beta 90.00
_cell_angle_gamma 120.00
_symmetry_space_group_name_H-M 'P -3 m 1'
_symmetry_Int_Tables_number 164
_symmetry_space_group_name_Hall '-P 3 2"'
loop_
_atom_site_label
_atom_site_type_symbol
_atom_site_fract_x
_atom_site_fract_y
_atom_site_fract_z
Cd1 Cd 0.3333 0.6667 0.2157
Pt1 Pt 0.0000 0.0000 0.0000
F1 F 0.1415 0.2831 0.2452
F2 F 0.3333 0.6667 0.7163
# Formation energy from raw total energies: -1728 meV per atom
# Final energy: -41.9 eV per cell
# Size of the total moment: 0.00 μB/f.u.
# Crystal system: trigonal

---

[5]
# PBE MoIr2Rh4, relaxed
data_MoIr2Rh4
_cell_length_a 4.498
_cell_length_b 4.497
_cell_length_c 5.527
_cell_angle_alpha 90.00
_cell_angle_beta 90.03
_cell_angle_gamma 90.00
_symmetry_space_group_name_H-M 'P 1 2/m 1'
_symmetry_Int_Tables_number 10
loop_
_symmetry_equiv_pos_as_xyz
'x,y,z'
'-x,-y,-z'
'-x,y,-z'
'x,-y,z'
loop_
_atom_site_label
_atom_site_type_symbol
_atom_site_fract_x
_atom_site_fract_y
_atom_site_fract_z
Mo1 Mo 0.000 0.000 0.000
Ir1 Ir 0.500 0.500 0.000
Ir2 Ir 0.500 0.500 0.500
Rh1 Rh 0.000 0.500 0.261
Rh2 Rh 0.499 0.000 0.738
# Final energy: -56.1 eV per cell
# Size of the total moment: 0.00 μB/f.u.
# Crystal system: monoclinic

---

[6]
# PBE Mg5Ga, relaxed
data_Mg5Ga
_cell_length_a 5.4532
_cell_length_b 5.4532
_cell_length_c 15.0693
_cell_angle_alpha 90.00
_cell_angle_beta 90.00
_cell_angle_gamma 120.00
_symmetry_space_group_name_H-M 'R 3 2'
_symmetry_Int_Tables_number 155
_symmetry_space_group_name_Hall 'R 3 2"'
loop_
_atom_site_label
_atom_site_type_symbol
_atom_site_fract_x
_atom_site_fract_y
_atom_site_fract_z
Mg1 Mg 0.0000 0.0000 0.1662
Mg2 Mg 0.0000 0.6603 0.0000
Ga1 Ga 0.0000 0.0000 0.5000
# Final energy: -33.7 eV per cell
# Size of the total moment: 0.00 μB/f.u.
# Crystal system: trigonal

---

[7]
# PBE KBaOs2, relaxed
data_KBaOs2
_cell_length_a 8.892
_cell_length_b 8.892
_cell_length_c 5.389
_cell_angle_alpha 90.00
_cell_angle_beta 90.00
_cell_angle_gamma 90.00
_symmetry_space_group_name_H-M 'I -4 2 d'
_symmetry_Int_Tables_number 122
_symmetry_space_group_name_Hall 'I -4 2bw'
loop_
_atom_site_label
_atom_site_type_symbol
_atom_site_fract_x
_atom_site_fract_y
_atom_site_fract_z
K1 K 0.000 0.000 0.000
Ba1 Ba 0.000 0.000 0.500
Os1 Os 0.249 0.250 0.125
# Final energy: -73.6 eV per cell
# Size of the total moment: 1.50 μB/f.u.
# Crystal system: tetragonal

---

[8]
# PBE EuHg, relaxed
data_EuHg
_cell_length_a 3.890
_cell_length_b 3.890
_cell_length_c 3.890
_cell_angle_alpha 90.00
_cell_angle_beta 90.00
_cell_angle_gamma 90.00
_symmetry_space_group_name_H-M 'P m -3 m'
_symmetry_Int_Tables_number 221
_symmetry_space_group_name_Hall '-P 4 2 3'
loop_
_atom_site_label
_atom_site_type_symbol
_atom_site_fract_x
_atom_site_fract_y
_atom_site_fract_z
Eu1 Eu 0.000 0.000 0.000
Hg1 Hg 0.500 0.500 0.500
# Final energy: -11.7 eV per cell
# Size of the total moment: 7.18 μB/f.u.
# Crystal system: cubic

---

[9]
# PBE Ca2Si4IrPd3, relaxed
data_Ca2Si4IrPd3
_cell_length_a 4.105
_cell_length_b 4.105
_cell_length_c 10.357
_cell_angle_alpha 90.00
_cell_angle_beta 90.00
_cell_angle_gamma 90.00
_symmetry_space_group_name_H-M 'P -4 m 2'
_symmetry_Int_Tables_number 115
loop_
_symmetry_equiv_pos_as_xyz
'x,y,z'
'y,-x,-z'
'-x,-y,z'
'-y,x,-z'
'-x,y,z'
'-y,-x,-z'
'x,-y,z'
'y,x,-z'
loop_
_atom_site_label
_atom_site_type_symbol
_atom_site_fract_x
_atom_site_fract_y
_atom_site_fract_z
Ca1 Ca 0.000 0.500 0.246
Si1 Si 0.000 0.000 0.000
Si2 Si 0.000 0.500 0.629
Si3 Si 0.500 0.500 0.000
Ir1 Ir 0.000 0.000 0.500
Pd1 Pd 0.000 0.500 0.867
Pd2 Pd 0.500 0.500 0.500
# Formation energy from raw total energies: -780 meV per atom
# Final energy: -57.9 eV per cell
# Size of the total moment: 0.00 μB/f.u.
# Crystal system: tetragonal

---

[10]
# PBE Sm5Tm4Th2, relaxed
data_Sm5Tm4Th2
_cell_length_a 3.492
_cell_length_b 7.618
_cell_length_c 28.174
_cell_angle_alpha 90.00
_cell_angle_beta 90.00
_cell_angle_gamma 90.00
_symmetry_space_group_name_H-M 'I m m m'
_symmetry_Int_Tables_number 71
_symmetry_space_group_name_Hall '-I 2 2'
loop_
_atom_site_label
_atom_site_type_symbol
_atom_site_fract_x
_atom_site_fract_y
_atom_site_fract_z
Sm1 Sm 0.000 0.000 0.000
Sm2 Sm 0.000 0.242 0.305
Tm1 Tm 0.000 0.179 0.500
Tm2 Tm 0.000 0.500 0.100
Th1 Th 0.000 0.500 0.399
# Final energy: -103.7 eV per cell
# Size of the total moment: 0.00 μB/f.u.
# Crystal system: orthorhombic

---

[11]
# PBE Tb3Pm8Ho2, relaxed
data_Tb3Pm8Ho2
_cell_length_a 6.249
_cell_length_b 6.258
_cell_length_c 11.419
_cell_angle_alpha 79.48
_cell_angle_beta 89.90
_cell_angle_gamma 80.47
_symmetry_space_group_name_H-M 'P -1'
_symmetry_Int_Tables_number 2
loop_
_symmetry_equiv_pos_as_xyz
'x,y,z'
'-x,-y,-z'
loop_
_atom_site_label
_atom_site_type_symbol
_atom_site_fract_x
_atom_site_fract_y
_atom_site_fract_z
Tb1 Tb 0.000 0.000 0.000
Tb2 Tb 0.231 0.615 0.539
Pm1 Pm 0.078 0.539 0.847
Pm2 Pm 0.154 0.078 0.693
Pm3 Pm 0.308 0.154 0.384
Pm4 Pm 0.384 0.693 0.229
Ho1 Ho 0.461 0.231 0.076
# Final energy: -60.9 eV per cell
# Size of the total moment: 0.00 μB/f.u.
# Crystal system: triclinic

---

[12]
# PBE La2CeCr2C4, relaxed
data_La2CeCr2C4
_cell_length_a 13.660
_cell_length_b 3.530
_cell_length_c 6.152
_cell_angle_alpha 90.00
_cell_angle_beta 109.68
_cell_angle_gamma 90.00
_symmetry_space_group_name_H-M 'C 1 2/m 1'
_symmetry_Int_Tables_number 12
loop_
_symmetry_equiv_pos_as_xyz
'x,y,z'
'-x,-y,-z'
'-x,y,-z'
'x,-y,z'
'x+1/2,y+1/2,z'
'-x+1/2,-y+1/2,-z'
'-x+1/2,y+1/2,-z'
'x+1/2,-y+1/2,z'
loop_
_atom_site_label
_atom_site_type_symbol
_atom_site_fract_x
_atom_site_fract_y
_atom_site_fract_z
La1 La 0.133 0.000 0.034
Ce1 Ce 0.000 0.000 0.500
Cr1 Cr 0.183 0.500 0.500
C1 C 0.054 0.500 0.272
C2 C 0.214 0.000 0.662
# Final energy: -145.4 eV per cell
# Size of the total moment: 0.00 μB/f.u.
# Crystal system: monoclinic

---

Which value of final energy does entry 6 give?
-33.7 eV per cell

---

What is the final energy in the fifth record?
-56.1 eV per cell